First-principles (PBE-GGA) data for a geometry-optimized Be2SBr structure, as listed in the Alexandria database.

Properties
energy above the lowest structure with this stoichiometry: 0.137 eV per atom
mass density: 2.49 Mg/m³
E_form (uncorrected): -2.3 eV per formula unit

Cell: 4.701 3.394 21.756 Å, 90.00 92.20 90.00°
Positions (direct):
S 0.231 0.000 0.088
S 0.742 0.500 0.190
S 0.231 0.500 0.588
S 0.742 0.000 0.690
Br 0.709 0.000 0.955
Br 0.170 0.000 0.305
Br 0.170 0.500 0.805
Br 0.709 0.500 0.455
Be 0.963 0.000 0.608
Be 0.719 0.000 0.517
Be 0.505 0.500 0.107
Be 0.719 0.500 0.017
Be 0.887 0.500 0.733
Be 0.887 0.000 0.233
Be 0.963 0.500 0.108
Be 0.505 0.000 0.607


First-principles (PBE-GGA) data for a geometry-optimized NaTl2PtBr6 structure, as listed in the Alexandria database.

Properties
density of states at the Fermi level: 8.6 states/eV per cell
mass density: 5.45 Mg/m³
E_form (uncorrected): -7.0 eV per formula unit

Cell: 7.423 7.423 14.769 Å, 75.45 75.45 60.00°
Positions (direct):
Tl 0.860 0.860 0.420
Tl 0.309 0.309 0.072
Tl 0.140 0.140 0.580
Tl 0.691 0.691 0.928
Br 0.370 0.865 0.396
Br 0.706 0.199 0.896
Br 0.801 0.801 0.104
Br 0.801 0.294 0.104
Br 0.135 0.630 0.604
Br 0.370 0.370 0.396
Br 0.199 0.199 0.896
Br 0.865 0.370 0.396
Br 0.630 0.630 0.604
Br 0.630 0.135 0.604
Br 0.294 0.801 0.104
Br 0.199 0.706 0.896
Na 0.417 0.417 0.749
Na 0.583 0.583 0.251
Pt 0.000 0.000 0.000
Pt 0.500 0.500 0.500


First-principles (PBE-GGA) data for a geometry-optimized Ce2Si6Rh9 structure, as listed in the Alexandria database.

Properties
density of states at the Fermi level: 16.4 states/eV per cell
mass density: 7.77 Mg/m³
E_form (uncorrected): -14.0 eV per formula unit

Cell: 5.625 5.625 10.722 Å, 90.00 90.00 120.00°
Each line ends with the local moment (μB).
Positions (direct):
Rh 0.500 0.500 0.166  0.00
Rh 0.000 0.500 0.500  -0.01
Rh 0.500 0.000 0.166  0.00
Rh 0.500 0.500 0.834  0.00
Rh 0.500 0.000 0.834  0.00
Rh 0.000 0.500 0.834  0.00
Rh 0.500 0.500 0.500  -0.01
Rh 0.000 0.500 0.166  0.00
Rh 0.500 0.000 0.500  -0.01
Ce 0.000 0.000 0.305  0.57
Ce 0.000 0.000 0.695  0.57
Si 0.667 0.333 0.666  0.00
Si 0.333 0.667 0.666  0.00
Si 0.667 0.333 0.000  0.00
Si 0.333 0.667 0.000  0.00
Si 0.333 0.667 0.334  0.00
Si 0.667 0.333 0.334  0.00